The following is a PBE-GGA calculation of crystalline Si2PRu at its relaxed geometry, from Alexandria.

Cell: 2.913 2.913 7.409 Å, 90.00 90.00 115.26°
Positions (direct):
Si 0.000 0.000 0.250
Si 0.000 0.000 0.750
P 0.500 0.500 0.000
Ru 0.500 0.500 0.500

E_tot	-6.162	eV per atom
ΔE_f (raw)	221	meV/atom